# GGA-PBE CeGaF2, optimized geometry
data_CeGaF2
_space_group_name_H-M_alt 'R -3 m'
_space_group_IT_number 166
_space_group_name_Hall '-R 3 2"'
_cell_length_a 3.5523
_cell_length_b 3.5523
_cell_length_c 24.9341
_cell_angle_alpha 90.00
_cell_angle_beta 90.00
_cell_angle_gamma 120.00
loop_
_atom_site_label
_atom_site_type_symbol
_atom_site_fract_x
_atom_site_fract_y
_atom_site_fract_z
Ce1 Ce 0.0000 0.0000 0.0000
Ga1 Ga 0.0000 0.0000 0.5000
F1 F 0.0000 0.0000 0.0880
# **Magnetization**: 3.4 μB per cell
# **ΔE_f (raw)**: -1.81 eV/atom
# **V**: 272.5 Å³/cell

***

# GGA-PBE Ce2GaF, optimized geometry
data_Ce2GaF
_space_group_name_H-M_alt 'P 4/m m m'
_space_group_IT_number 123
_space_group_name_Hall '-P 4 2'
_cell_length_a 3.207
_cell_length_b 3.207
_cell_length_c 7.835
_cell_angle_alpha 90.00
_cell_angle_beta 90.00
_cell_angle_gamma 90.00
loop_
_atom_site_label
_atom_site_type_symbol
_atom_site_fract_x
_atom_site_fract_y
_atom_site_fract_z
Ce1 Ce 0.000 0.000 0.234
Ga1 Ga 0.500 0.500 0.500
F1 F 0.500 0.500 0.000
# **Magnetization**: 2.1 μB per cell
# **ΔE_f (raw)**: -1.20 eV/atom
# **Excess energy over the best structure of this formula in the dataset**: 99.2 meV per atom
# **V**: 80.6 Å³/cell

***

# GGA-PBE K2CeGaF8, optimized geometry
data_K2CeGaF8
_space_group_name_H-M_alt 'P 1 2/m 1'
_space_group_IT_number 10
_space_group_name_Hall '-P 2y'
_cell_length_a 4.717
_cell_length_b 7.178
_cell_length_c 6.053
_cell_angle_alpha 90.00
_cell_angle_beta 94.00
_cell_angle_gamma 90.00
loop_
_atom_site_label
_atom_site_type_symbol
_atom_site_fract_x
_atom_site_fract_y
_atom_site_fract_z
K1 K 0.000 0.228 0.000
Ce1 Ce 0.500 0.500 0.500
Ga1 Ga 0.500 0.000 0.500
F1 F 0.104 0.500 0.271
F2 F 0.173 0.000 0.317
F3 F 0.380 0.216 0.687
# **Magnetization**: 1.0 μB per cell
# **ΔE_f (raw)**: -3.11 eV/atom
# **V**: 204.5 Å³/cell

***

# GGA-PBE CeGd2F, optimized geometry
data_CeGd2F
_space_group_name_H-M_alt 'R -3 m'
_space_group_IT_number 166
_space_group_name_Hall '-R 3 2"'
_cell_length_a 3.5942
_cell_length_b 3.5942
_cell_length_c 26.4223
_cell_angle_alpha 90.00
_cell_angle_beta 90.00
_cell_angle_gamma 120.00
loop_
_atom_site_label
_atom_site_type_symbol
_atom_site_fract_x
_atom_site_fract_y
_atom_site_fract_z
Ce1 Ce 0.0000 0.0000 0.0000
Gd1 Gd 0.0000 0.0000 0.2296
F1 F 0.0000 0.0000 0.5000
# **Magnetization**: 41.6 μB per cell
# **ΔE_f (raw)**: -1.11 eV/atom
# **V**: 295.6 Å³/cell